Below is a relaxed Ge2IrWF crystal, with properties calculated at the PBE+U level.

extended XYZ file:
```
5
Lattice="4.5042 0.0000 0.0000 0.0000 4.2384 0.0000 0.0000 0.0000 4.5042" Properties=species:S:1:pos:R:3 pbc="T T T"
Ge 0.0000 0.0000 2.2521
Ge 2.2521 0.0000 0.0000
Ir 2.2521 2.1192 2.2521
W 0.0000 2.1192 0.0000
F 0.0000 0.0000 0.0000
```

Output
As for the volume: 17.2 Å³/atom. As for the space group: No. 123. The density of states at the Fermi level is 0.62 states/eV per atom. Its calculated total energy is -24.63 eV per cell.